# 1
First-principles (SCAN) data for a PBEsol-optimized structure of Tm5Tl3, as listed in the Alexandria database.

Unit cell a=6.3931 b=8.7752 c=8.7752 alpha=120.00 beta=90.00 gamma=90.00
Last column: nearest neighbours and their distance in Å.
Element x y z (fractional)
Tm (0.5000, 0.6667, 0.3333)  6 Tl 3.12, 2 Tm 3.20
Tm (0.5000, 0.3333, 0.6667)  6 Tl 3.12, 2 Tm 3.20
Tm (0.0000, 0.3333, 0.6667)  6 Tl 3.12, 2 Tm 3.20
Tm (0.0000, 0.6667, 0.3333)  6 Tl 3.12, 2 Tm 3.20
Tm (0.7500, 0.2344, 0.2344)  3 Tl 3.07-3.19
Tm (0.7500, 0.0000, 0.7656)  3 Tl 3.07-3.19
Tm (0.7500, 0.7656, 0.0000)  3 Tl 3.07-3.19
Tm (0.2500, 0.7656, 0.7656)  3 Tl 3.07-3.19
Tm (0.2500, 0.0000, 0.2344)  3 Tl 3.07-3.19
Tm (0.2500, 0.2344, 0.0000)  3 Tl 3.07-3.19
Tl (0.7500, 0.5978, 0.5978)  7 Tm 3.07-3.19
Tl (0.7500, 0.0000, 0.4022)  7 Tm 3.07-3.19
Tl (0.7500, 0.4022, 0.0000)  7 Tm 3.07-3.19
Tl (0.2500, 0.4022, 0.4022)  7 Tm 3.07-3.19
Tl (0.2500, 0.0000, 0.5978)  7 Tm 3.07-3.19
Tl (0.2500, 0.5978, 0.0000)  7 Tm 3.07-3.19

Energy relative to the elements (meV/atom): -501
Total magnetic moment (μB/cell): 0.0
VASP energy (eV per atom): -60.03
ρ (g cm⁻³): 11.36

---

# 2
First-principles (SCAN) data for a PBEsol-optimized structure of Tl3W, as listed in the Alexandria database.

Unit cell a=3.0588 b=5.3601 c=5.3601 alpha=90.00 beta=90.00 gamma=90.00
Last column: nearest neighbours and their distance in Å.
Element x y z (fractional)
Tl (0.0000, 0.0000, 0.5000)  6 Tl 3.06-3.09, 4 W 3.09
Tl (0.5000, 0.5000, 0.5000)  10 Tl 3.06-3.09
Tl (0.0000, 0.5000, 0.0000)  6 Tl 3.06-3.09, 4 W 3.09
W (0.5000, 0.0000, 0.0000)  2 W 3.06, 8 Tl 3.09

Energy relative to the elements (meV/atom): 1027
Total magnetic moment (μB/cell): 0.0
VASP energy (eV per atom): -70.66
ρ (g cm⁻³): 15.06
E above lowest polymorph (eV/atom): 0.000

---

# 3
First-principles (SCAN) data for a PBEsol-optimized structure of TlW2, as listed in the Alexandria database.

Unit cell a=2.7967 b=4.2918 c=5.0207 alpha=115.30 beta=106.17 gamma=90.00
Last column: nearest neighbours and their distance in Å.
Element x y z (fractional)
Tl (0.0000, 0.0000, 0.0000)  2 Tl 2.80, 10 W 2.85-2.95
W (0.3299, 0.3299, 0.6597)  7 W 2.80-2.94, 5 Tl 2.85-2.95
W (0.6701, 0.6701, 0.3403)  7 W 2.80-2.94, 5 Tl 2.85-2.95

Energy relative to the elements (meV/atom): 984
Total magnetic moment (μB/cell): 0.0
VASP energy (eV per atom): -69.59
ρ (g cm⁻³): 18.33

---

# 4
First-principles (SCAN) data for a PBEsol-optimized structure of Tl3W, as listed in the Alexandria database.

Unit cell a=5.1046 b=5.1046 c=5.1046 alpha=60.00 beta=60.00 gamma=60.00
Last column: nearest neighbours and their distance in Å.
Element x y z (fractional)
Tl (0.2500, 0.2500, 0.2500)  4 Tl 3.13, 4 W 3.13
Tl (0.5000, 0.5000, 0.5000)  8 Tl 3.13
Tl (0.7500, 0.7500, 0.7500)  4 Tl 3.13, 4 W 3.13
W (0.0000, 0.0000, 0.0000)  8 Tl 3.13

Energy relative to the elements (meV/atom): 1251
Total magnetic moment (μB/cell): 3.2
VASP energy (eV per atom): -70.44
ρ (g cm⁻³): 14.07
E above lowest polymorph (eV/atom): 0.224